Record 1
DFT (PBE) results for a geometry-optimized Ce6SiRh2 structure.

The structure in POSCAR format:
```
Ce6SiRh2
1.0
5.1153 -2.3615 0.0000
5.1153 2.3615 0.0000
-0.9173 0.0000 8.6847
Ce Si Rh
6 1 2
Direct
0.0614 0.0614 0.3424
0.3104 0.3104 0.9219
0.3983 0.3983 0.3259
0.6017 0.6017 0.6741
0.6896 0.6896 0.0781
0.9386 0.9386 0.6576
0.0000 0.0000 0.0000
0.2644 0.2644 0.6175
0.7356 0.7356 0.3825
```

Record 2
DFT (PBE) results for a geometry-optimized Ce2Si7Rh12 structure.

The structure in POSCAR format:
```
Ce2Si7Rh12
1.0
9.7807 0.0000 0.0000
-4.8903 8.4703 0.0000
0.0000 0.0000 3.8618
Ce Si Rh
2 7 12
Direct
0.3333 0.6667 0.2519
0.6667 0.3333 0.7481
0.0000 0.0000 0.5000
0.1060 0.7090 0.7510
0.2910 0.3970 0.7510
0.3970 0.1060 0.2490
0.6030 0.8940 0.7510
0.7090 0.6030 0.2490
0.8940 0.2910 0.2490
0.0664 0.4454 0.7518
0.1216 0.2621 0.2543
0.1406 0.8784 0.2543
0.2621 0.1406 0.7457
0.3790 0.9336 0.7518
0.4454 0.3790 0.2482
0.5546 0.6210 0.7518
0.6210 0.0664 0.2482
0.7379 0.8594 0.2543
0.8594 0.1216 0.7457
0.8784 0.7379 0.7457
0.9336 0.5546 0.2482
```

Looking at calculated density for the records above, in order, we have 8.50 8.88 Mg/m³.
Looking at DOS at the Fermi energy for the records above, in order, we have 20.39 11.18 states/eV/cell.
Looking at uncorrected formation energy for the records above, in order, we have -4.180 -20.000 eV/f.u..